# 1
DFT (GGA-PBE) results for an optimized crystal structure of B2PC.

Structure (extended XYZ):
```
4
Lattice="-1.3371 1.7376 1.4917 -1.9800 -0.8344 1.5543 2.4345 -0.4844 5.1035" Properties=species:S:1:pos:R:3 pbc="T T T"
C -0.4413 0.2094 4.0748
P 0.0000 0.0000 0.0000
B -2.0505 0.6222 4.5086
B 1.1679 -0.2034 3.6409
```

Output
For the volume, the calculation gives 8.32 A^3/atom. The formation energy is 0.691 eV per atom.

***

# 2
DFT (GGA-PBE) results for an optimized crystal structure of LaPmTe.

Structure (extended XYZ):
```
3
Lattice="-0.9150 -3.4549 1.9426 2.7313 1.6733 4.2624 -5.1928 1.1233 -0.4482" Properties=species:S:1:pos:R:3 pbc="T T T"
Pm -0.1306 -0.4933 0.2774
Te -2.7542 0.5409 1.5526
La -0.4916 -0.7059 3.9269
```

Output
For the volume, the calculation gives 33.38 A^3/atom. As for the formation energy from raw total energies: -1.740 eV per formula unit.

***

# 3
DFT (GGA-PBE) results for an optimized crystal structure of ZrCd2Au2.

Structure (extended XYZ):
```
10
Lattice="-5.9164 2.8033 -3.5418 -2.6955 -6.8746 -0.9385 -1.8604 0.2754 3.3257" Properties=species:S:1:pos:R:3 pbc="T T T"
Cd -3.7182 -3.9805 0.4444
Cd -3.3497 -0.0792 0.3273
Cd -7.1225 -3.7167 -1.4819
Cd -6.7541 0.1846 -1.5989
Zr 0.0000 0.0000 0.0000
Au -6.8300 -1.9386 -3.6601
Au -4.4928 -4.9242 -2.1054
Au -4.1191 0.8528 -2.3748
Zr -4.3059 -2.0357 -2.2401
Au -1.7819 -2.1327 -0.8202
```

Output
For the volume, the calculation gives 21.17 A^3/atom. The formation energy is -0.141 eV per atom.

***

# 4
DFT (GGA-PBE) results for an optimized crystal structure of Ba3Al2Sb4.

Structure (extended XYZ):
```
18
Lattice="-1.0782 1.9938 -8.1982 -4.3536 -8.6178 -1.5232 -5.1690 7.6817 2.6751" Properties=species:S:1:pos:R:3 pbc="T T T"
Sb -5.9699 -2.8957 -2.7134
Sb -4.7579 1.6381 -0.4668
Ba -3.0245 -2.8907 -6.9239
Ba -3.3261 1.8404 -6.8248
Ba -7.2748 -0.7827 -0.2215
Ba -2.4074 -3.7333 -2.7975
Al -5.0357 5.3141 -6.7112
Sb -8.3417 1.6057 -2.7832
Sb -4.6310 3.9534 -4.3328
Ba -8.6356 -1.4123 -4.6081
Sb -2.2592 -0.5480 -4.2630
Ba -1.9653 2.4700 -2.4382
Al -4.8603 -0.7971 -3.9989
Sb -5.8430 -0.5804 -6.5795
Al -5.5652 -4.2564 -0.3351
Al -5.7406 1.8548 -3.0473
Sb -4.1551 -6.3649 -1.0159
Sb -6.4458 7.4226 -6.0304
```

Output
For the volume, the calculation gives 38.36 A^3/atom. As for the formation energy from raw total energies: -5.442 eV per formula unit.

***

# 5
DFT (GGA-PBE) results for an optimized crystal structure of Ac2Dy4Ho7.

Structure (extended XYZ):
```
13
Lattice="-2.6828 5.0183 -2.3426 -2.0317 -5.5924 -1.5705 -8.5796 0.2233 10.3039" Properties=species:S:1:pos:R:3 pbc="T T T"
Ho -3.5526 -0.1534 0.8879
Dy -3.3971 0.0884 4.0798
Ac -2.2488 -2.0555 -1.8279
Ho -9.7415 -0.1973 5.5028
Ho -3.2039 -3.5699 1.2524
Ho 0.0000 0.0000 0.0000
Ho -7.6372 1.9449 7.2086
Ho -7.4074 -1.7991 7.4810
Ho -3.6252 3.2968 0.7527
Dy -6.5385 -1.9438 3.3241
Dy -6.7556 1.5931 3.0667
Dy -5.1825 0.1349 6.2241
Ac -2.4658 1.4814 -2.0853
```

Output
For the volume, the calculation gives 33.83 A^3/atom. The formation energy is 0.232 eV per atom.

***

# 6
DFT (GGA-PBE) results for an optimized crystal structure of BaNi2Sb2.

Structure (extended XYZ):
```
10
Lattice="-7.2909 -3.6936 -0.2510 3.6303 -7.2417 1.1139 -0.3016 0.3666 3.3662" Properties=species:S:1:pos:R:3 pbc="T T T"
Ba 0.0000 0.0000 0.0000
Sb -1.7677 -8.3848 2.4713
Ni 0.3735 -7.9276 0.8968
Sb -2.1945 -2.1839 1.7578
Ba -1.8303 -5.4676 0.4314
Sb -5.0896 -5.5273 1.8625
Ni -4.3163 -7.6911 0.4508
Ni -4.0340 -3.0077 -0.0339
Sb 1.1275 -5.0414 2.3666
Ni 0.6558 -3.2442 0.4120
```

Output
For the volume, the calculation gives 22.73 A^3/atom. As for the formation energy from raw total energies: -0.695 eV per formula unit.

***

# 7
DFT (GGA-PBE) results for an optimized crystal structure of Li2NbSO8.

Structure (extended XYZ):
```
12
Lattice="-0.4094 -5.0149 -1.2264 4.3026 2.6179 -1.2065 2.1220 -1.3223 4.6983" Properties=species:S:1:pos:R:3 pbc="T T T"
O 4.0080 1.2351 -0.3155
O 1.6184 -0.2188 0.3545
S 0.0000 0.0000 0.0000
O 2.2345 -2.1692 3.2621
O 4.3967 -3.5004 1.9109
Li 1.1740 -2.4786 -1.1914
Li 4.8411 -1.2406 3.4569
O 2.0874 -3.0478 0.8309
Nb 1.0610 -0.6611 2.3492
O 2.0071 -4.9544 2.5810
O 3.9277 -0.6715 1.4346
O 3.7806 -1.5501 -0.9967
```

Output
For the volume, the calculation gives 10.30 A^3/atom. As for the formation energy from raw total energies: -10.261 eV per formula unit.

***

# 8
DFT (GGA-PBE) results for an optimized crystal structure of PmSi2Pt5Rh.

Structure (extended XYZ):
```
9
Lattice="4.0662 0.0000 0.0000 0.0000 4.0662 0.0000 0.0000 0.0000 10.5949" Properties=species:S:1:pos:R:3 pbc="T T T"
Pt 2.0331 0.0000 8.8560
Pt 0.0000 2.0331 1.7389
Pm 0.0000 0.0000 5.2975
Si 2.0331 2.0331 7.6446
Rh 0.0000 0.0000 0.0000
Pt 2.0331 2.0331 5.2975
Pt 2.0331 0.0000 1.7389
Si 2.0331 2.0331 2.9503
Pt 0.0000 2.0331 8.8560
```

Output
For the volume, the calculation gives 19.46 A^3/atom. As for the formation energy from raw total energies: -4.493 eV per formula unit.

***

# 9
DFT (GGA-PBE) results for an optimized crystal structure of KCuS2.

Structure (extended XYZ):
```
16
Lattice="5.1847 0.0000 0.0000 0.0000 6.1200 -0.1047 0.0000 0.0201 13.0270" Properties=species:S:1:pos:R:3 pbc="T T T"
S 0.9489 0.0583 6.8892
K 4.7412 3.0611 2.8574
S 3.5413 3.0318 12.5989
Cu 4.5881 1.1111 12.9153
S 1.6435 3.1083 0.3233
S 0.3882 0.0417 11.2091
S 4.2358 6.0818 6.0331
K 3.0359 6.1311 9.3185
Cu 0.5966 5.0290 0.0069
Cu 1.9958 1.9790 6.5728
S 2.2041 3.0917 4.6433
S 2.9806 3.0484 8.2790
S 4.7965 6.0984 1.7131
Cu 3.1890 4.1611 6.3494
K 2.1489 0.0090 3.6037
K 0.4435 3.0790 10.0649
```

Output
For the volume, the calculation gives 25.84 A^3/atom. As for the formation energy from raw total energies: -2.024 eV per formula unit.

***

# 10
DFT (GGA-PBE) results for an optimized crystal structure of SrUSi2S8.

Structure (extended XYZ):
```
12
Lattice="-2.5530 5.1185 2.2320 0.5874 -4.9518 3.5824 7.9760 2.8379 2.6150" Properties=species:S:1:pos:R:3 pbc="T T T"
U 3.9880 1.4189 1.3075
S 7.4254 1.2104 5.7174
Si 0.4277 2.4499 3.3162
S 5.5852 0.2770 2.9681
S 0.4252 2.7276 5.4613
Si 5.5826 0.5548 5.1132
S 4.0855 2.0208 5.6499
S 5.1335 -1.3251 6.0844
Sr 0.0000 0.0000 0.0000
S 0.8768 4.3297 2.3450
S 1.9249 0.9838 2.7795
S -1.4150 1.7942 2.7120
```

Output
For the volume, the calculation gives 24.11 A^3/atom. As for the formation energy from raw total energies: -10.952 eV per formula unit.

***

# 11
DFT (GGA-PBE) results for an optimized crystal structure of MgSCl2.

Structure (extended XYZ):
```
4
Lattice="-4.5072 5.0489 8.9249 -1.1911 4.5474 10.1667 -1.9367 7.4170 8.1668" Properties=species:S:1:pos:R:3 pbc="T T T"
Cl -6.6882 14.9038 23.8785
S 0.0000 0.0000 0.0000
Mg -3.8174 8.5067 13.6292
Cl -0.9467 2.1096 3.3799
```

Output
For the volume, the calculation gives 30.49 A^3/atom. As for the formation energy from raw total energies: -3.046 eV per formula unit.

***

| no. | final energy (eV per atom) |
| --- | --- |
| 1 | -6.306 |
| 2 | -4.853 |
| 3 | -3.528 |
| 4 | -3.909 |
| 5 | -4.281 |
| 6 | -4.485 |
| 7 | -5.663 |
| 8 | -6.405 |
| 9 | -3.868 |
| 10 | -5.649 |
| 11 | -3.115 |